{
  "formula": "LiTaHg2",
  "functional": "PBE",
  "state": "relaxed",
  "magmom_total_mub_per_atom": 0.00,
  "relative_energy_ev_per_fu": 0.78,
  "ef_ev_per_atom": 0.2903,
  "final_energy_ev_per_atom": -3.302,
  "lattice_angstrom": [[2.990, 0.000, 0.000], [0.000, 4.583, 0.000], [0.000, 0.000, 5.820]],
  "species": ["Li", "Ta", "Hg", "Hg"],
  "fractional_positions": [[0.000, 0.000, 0.000], [0.500, 0.500, 0.320], [0.000, 0.000, 0.486], [0.500, 0.500, 0.829]]
}